# 1
# Mg2BeIr

A relaxed structure of Mg2BeIr (PBE, Alexandria via LeMat-Bulk).

Summary:
E_form	-24	meV per atom
symmetry	P2/m (10)
magnetic moment	0.00	Bohr magnetons per cell

```
data_Mg2BeIr
_chemical_formula_sum 'Mg2 Be1 Ir1'
_symmetry_space_group_name_H-M 'P 1'
_symmetry_Int_Tables_number 1
_symmetry_space_group_name_Hall 'P 1'
_cell_length_a 3.7878
_cell_length_b 2.9554
_cell_length_c 6.1349
_cell_angle_alpha 61.39
_cell_angle_beta 90.00
_cell_angle_gamma 90.00
loop_
_atom_site_label
_atom_site_type_symbol
_atom_site_fract_x
_atom_site_fract_y
_atom_site_fract_z
Be1 Be 0.5000 0.2500 0.2500
Mg1 Mg 0.0000 0.0073 0.9936
Mg2 Mg 0.0000 0.4927 0.5064
Ir1 Ir 0.5000 0.7500 0.7500
```

=====

# 2
# MgBeIr

A relaxed structure of MgBeIr (PBE, Alexandria via LeMat-Bulk).

Summary:
E_form	-322	meV per atom
symmetry	P-6m2 (187)
magnetic moment	0.00	Bohr magnetons per cell

```
data_MgBeIr
_chemical_formula_sum 'Mg1 Be1 Ir1'
_symmetry_space_group_name_H-M 'P 1'
_symmetry_Int_Tables_number 1
_symmetry_space_group_name_Hall 'P 1'
_cell_length_a 3.9378
_cell_length_b 3.9378
_cell_length_c 3.1094
_cell_angle_alpha 90.00
_cell_angle_beta 90.00
_cell_angle_gamma 120.00
loop_
_atom_site_label
_atom_site_type_symbol
_atom_site_fract_x
_atom_site_fract_y
_atom_site_fract_z
Be1 Be 0.0000 0.0000 0.1667
Mg1 Mg 0.3333 0.6667 0.6668
Ir1 Ir 0.6667 0.3333 0.1665
```

=====

# 3
# MgBe3Ir

A relaxed structure of MgBe3Ir (PBE, Alexandria via LeMat-Bulk).

Summary:
E_form	1605	meV per atom
symmetry	Pm-3m (221)
magnetic moment	0.00	Bohr magnetons per cell

```
data_MgBe3Ir
_chemical_formula_sum 'Mg1 Be3 Ir1'
_symmetry_space_group_name_H-M 'P 1'
_symmetry_Int_Tables_number 1
_symmetry_space_group_name_Hall 'P 1'
_cell_length_a 4.0774
_cell_length_b 4.0774
_cell_length_c 4.0774
_cell_angle_alpha 90.00
_cell_angle_beta 90.00
_cell_angle_gamma 90.00
loop_
_atom_site_label
_atom_site_type_symbol
_atom_site_fract_x
_atom_site_fract_y
_atom_site_fract_z
Be1 Be 0.0000 0.5000 0.0000
Be2 Be 0.0000 0.0000 0.5000
Be3 Be 0.5000 0.0000 0.0000
Mg1 Mg 0.0000 0.0000 0.0000
Ir1 Ir 0.5000 0.5000 0.5000
```

=====

# 4
# Mg2BeIr

A relaxed structure of Mg2BeIr (PBE, Alexandria via LeMat-Bulk).

Summary:
E_form	4	meV per atom
symmetry	R3m (160)
magnetic moment	0.00	Bohr magnetons per cell

```
data_Mg2BeIr
_chemical_formula_sum 'Mg2 Be1 Ir1'
_symmetry_space_group_name_H-M 'P 1'
_symmetry_Int_Tables_number 1
_symmetry_space_group_name_Hall 'P 1'
_cell_length_a 8.6977
_cell_length_b 8.6977
_cell_length_c 8.6977
_cell_angle_alpha 19.66
_cell_angle_beta 19.66
_cell_angle_gamma 19.66
loop_
_atom_site_label
_atom_site_type_symbol
_atom_site_fract_x
_atom_site_fract_y
_atom_site_fract_z
Be1 Be 0.5129 0.5129 0.5129
Mg1 Mg 0.9874 0.9874 0.9874
Mg2 Mg 0.7622 0.7622 0.7622
Ir1 Ir 0.2375 0.2375 0.2375
```

=====

# 5
# MgBeIr

A relaxed structure of MgBeIr (PBE, Alexandria via LeMat-Bulk).

Summary:
E_form	-141	meV per atom
symmetry	F-43m (216)
magnetic moment	0.00	Bohr magnetons per cell

```
data_MgBeIr
_chemical_formula_sum 'Mg1 Be1 Ir1'
_symmetry_space_group_name_H-M 'P 1'
_symmetry_Int_Tables_number 1
_symmetry_space_group_name_Hall 'P 1'
_cell_length_a 3.9230
_cell_length_b 3.9230
_cell_length_c 3.9230
_cell_angle_alpha 60.00
_cell_angle_beta 60.00
_cell_angle_gamma 60.00
loop_
_atom_site_label
_atom_site_type_symbol
_atom_site_fract_x
_atom_site_fract_y
_atom_site_fract_z
Be1 Be 0.7500 0.7500 0.7500
Mg1 Mg 0.5000 0.5000 0.5000
Ir1 Ir 0.0000 0.0000 0.0000
```

=====

# 6
# NaMgBeIr2

A relaxed structure of NaMgBeIr2 (PBE, Alexandria via LeMat-Bulk).

Summary:
E_form	224	meV per atom
symmetry	P4/mmm (123)
magnetic moment	0.00	Bohr magnetons per cell

```
data_NaMgBeIr2
_chemical_formula_sum 'Na1 Mg1 Be1 Ir2'
_symmetry_space_group_name_H-M 'P 1'
_symmetry_Int_Tables_number 1
_symmetry_space_group_name_Hall 'P 1'
_cell_length_a 4.2240
_cell_length_b 4.5611
_cell_length_c 4.2240
_cell_angle_alpha 90.00
_cell_angle_beta 90.00
_cell_angle_gamma 90.00
loop_
_atom_site_label
_atom_site_type_symbol
_atom_site_fract_x
_atom_site_fract_y
_atom_site_fract_z
Na1 Na 0.5000 0.5000 0.5000
Mg1 Mg 0.0000 0.5000 0.0000
Ir1 Ir 0.0000 0.0000 0.5000
Ir2 Ir 0.5000 0.0000 0.0000
Be1 Be 0.0000 0.0000 0.0000
```

=====

# 7
# Mg2BeIrO6

A relaxed structure of Mg2BeIrO6 (PBE, Alexandria via LeMat-Bulk).

Summary:
symmetry	P4mm (99)
energy relative to the elements, uncorrected	-132.5	kJ per mole of atoms
magnetic moment	0.04	Bohr magnetons per cell

```
data_Mg2BeIrO6
_chemical_formula_sum 'Mg2 Be1 Ir1 O6'
_symmetry_space_group_name_H-M 'P 1'
_symmetry_Int_Tables_number 1
_symmetry_space_group_name_Hall 'P 1'
_cell_length_a 4.6840
_cell_length_b 5.0484
_cell_length_c 5.0484
_cell_angle_alpha 90.00
_cell_angle_beta 90.00
_cell_angle_gamma 90.00
loop_
_atom_site_label
_atom_site_type_symbol
_atom_site_fract_x
_atom_site_fract_y
_atom_site_fract_z
Mg1 Mg 0.9544 0.5000 0.0000
Mg2 Mg 0.9544 0.0000 0.5000
Be1 Be 0.5605 0.0000 0.0000
Ir1 Ir 0.5910 0.5000 0.5000
O1 O 0.7346 0.2469 0.2469
O2 O 0.7346 0.2469 0.7531
O3 O 0.2087 0.5000 0.5000
O4 O 0.2396 0.0000 0.0000
O5 O 0.7346 0.7531 0.7531
O6 O 0.7346 0.7531 0.2469
```

=====

# 8
# MgBeIrPd

A relaxed structure of MgBeIrPd (PBE, Alexandria via LeMat-Bulk).

Summary:
E_form	-419	meV per atom
symmetry	F-43m (216)
magnetic moment	0.00	Bohr magnetons per cell

```
data_MgBeIrPd
_chemical_formula_sum 'Mg1 Be1 Ir1 Pd1'
_symmetry_space_group_name_H-M 'P 1'
_symmetry_Int_Tables_number 1
_symmetry_space_group_name_Hall 'P 1'
_cell_length_a 4.2186
_cell_length_b 4.2186
_cell_length_c 4.2186
_cell_angle_alpha 60.00
_cell_angle_beta 60.00
_cell_angle_gamma 60.00
loop_
_atom_site_label
_atom_site_type_symbol
_atom_site_fract_x
_atom_site_fract_y
_atom_site_fract_z
Be1 Be 0.2500 0.2500 0.2500
Mg1 Mg 0.7500 0.7500 0.7500
Ir1 Ir 0.5000 0.5000 0.5000
Pd1 Pd 0.0000 0.0000 0.0000
```

=====

Number 1: N(E_F) 0.951 states/eV per cell. Number 2: N(E_F) 0.885 states/eV per cell. Number 3: N(E_F) 2.270 states/eV per cell. Number 4: N(E_F) 2.027 states/eV per cell. Number 5: N(E_F) 1.304 states/eV per cell. Number 6: N(E_F) 4.062 states/eV per cell. Number 7: N(E_F) 4.773 states/eV per cell. Number 8: N(E_F) 1.945 states/eV per cell.